1.
# SmPuThN3 PBE relaxed
# Calculated density, Mg/m³: 10.16
# Formation energy without anion corrections, eV per atom: -1.216
# Final energy, eV per atom: -9.7900
# Total moment, μB per cell: 11.40
data_SmPuThN3
_chemical_formula_sum 'Sm2 Pu2 Th2 N6'
_cell_length_a 7.1733
_cell_length_b 3.4788
_cell_length_c 8.8114
_cell_angle_alpha 90.00
_cell_angle_beta 96.69
_cell_angle_gamma 90.00
_symmetry_space_group_name_H-M 'P 1 21/m 1'
_symmetry_Int_Tables_number 11
loop_
_symmetry_equiv_pos_as_xyz
'x,y,z'
'-x,-y,-z'
'-x,y+1/2,-z'
'x,-y+1/2,z'
loop_
_atom_site_label
_atom_site_type_symbol
_atom_site_fract_x
_atom_site_fract_y
_atom_site_fract_z
Sm1 Sm 0.1052 0.2500 0.3457
Pu1 Pu 0.1926 0.2500 0.9547
Th1 Th 0.3998 0.7500 0.6538
N1 N 0.1129 0.7500 0.0985
N2 N 0.1543 0.2500 0.6388
N3 N 0.3692 0.7500 0.3984

2.
# Cd2In PBE relaxed
# Calculated density, Mg/m³: 7.44
# Final energy, eV per atom: -1.4592
# Total moment, μB per cell: 0.00
data_Cd2In
_chemical_formula_sum 'Cd4 In2'
_cell_length_a 5.1796
_cell_length_b 5.1796
_cell_length_c 6.5242
_cell_angle_alpha 90.00
_cell_angle_beta 90.00
_cell_angle_gamma 120.00
_symmetry_space_group_name_H-M 'P 63/m m c'
_symmetry_Int_Tables_number 194
_symmetry_space_group_name_Hall '-P 6c 2c'
loop_
_atom_site_label
_atom_site_type_symbol
_atom_site_fract_x
_atom_site_fract_y
_atom_site_fract_z
Cd1 Cd 0.0000 0.0000 0.0000
Cd2 Cd 0.3333 0.6667 0.2500
In1 In 0.3333 0.6667 0.7500

3.
# InC5 PBE relaxed
# Calculated density, Mg/m³: 4.61
# Distance to the lowest polymorph of the same formula, eV per formula unit: 11.13
# Final energy, eV per atom: -5.1188
# Total moment, μB per cell: 0.01
data_InC5
_chemical_formula_sum 'In4 C20'
_cell_length_a 6.3179
_cell_length_b 6.3179
_cell_length_c 6.3179
_cell_angle_alpha 90.00
_cell_angle_beta 90.00
_cell_angle_gamma 90.00
_symmetry_space_group_name_H-M 'F -4 3 m'
_symmetry_Int_Tables_number 216
_symmetry_space_group_name_Hall 'F -4 2 3'
loop_
_atom_site_label
_atom_site_type_symbol
_atom_site_fract_x
_atom_site_fract_y
_atom_site_fract_z
In1 In 0.0000 0.0000 0.0000
C1 C 0.0878 0.0878 0.5878
C2 C 0.2500 0.2500 0.2500

4.
# CuPt2O5 PBE relaxed
# Calculated density, Mg/m³: 8.73
# Formation energy without anion corrections, eV per atom: -0.312
# Final energy, eV per atom: -5.4329
# Total moment, μB per cell: 3.25
data_CuPt2O5
_chemical_formula_sum 'Cu4 Pt8 O20'
_cell_length_a 4.0007
_cell_length_b 10.1862
_cell_length_c 9.9628
_cell_angle_alpha 90.00
_cell_angle_beta 90.00
_cell_angle_gamma 90.00
_symmetry_space_group_name_H-M 'C m c m'
_symmetry_Int_Tables_number 63
_symmetry_space_group_name_Hall '-C 2c 2'
loop_
_atom_site_label
_atom_site_type_symbol
_atom_site_fract_x
_atom_site_fract_y
_atom_site_fract_z
Cu1 Cu 0.0000 0.1878 0.2500
Pt1 Pt 0.0000 0.1388 0.5642
O1 O 0.0000 0.0517 0.1161
O2 O 0.0000 0.2328 0.7500
O3 O 0.0000 0.3116 0.0615

5.
# CaPmSbPd PBE relaxed
# Calculated density, Mg/m³: 6.71
# Formation energy without anion corrections, eV per atom: -0.825
# Final energy, eV per atom: -4.8421
# Total moment, μB per cell: 0.00
data_CaPmSbPd
_chemical_formula_sum 'Ca4 Pm4 Sb4 Pd4'
_cell_length_a 7.4223
_cell_length_b 7.4223
_cell_length_c 7.4223
_cell_angle_alpha 90.00
_cell_angle_beta 90.00
_cell_angle_gamma 90.00
_symmetry_space_group_name_H-M 'F -4 3 m'
_symmetry_Int_Tables_number 216
_symmetry_space_group_name_Hall 'F -4 2 3'
loop_
_atom_site_label
_atom_site_type_symbol
_atom_site_fract_x
_atom_site_fract_y
_atom_site_fract_z
Ca1 Ca 0.0000 0.0000 0.0000
Pm1 Pm 0.0000 0.0000 0.5000
Sb1 Sb 0.2500 0.2500 0.2500
Pd1 Pd 0.2500 0.2500 0.7500

6.
# NdFeRu PBE relaxed
# Calculated density, Mg/m³: 9.20
# Distance to the lowest polymorph of the same formula, eV per formula unit: 0.00
# Final energy, eV per atom: -7.5748
# Total moment, μB per cell: 10.26
data_NdFeRu
_chemical_formula_sum 'Nd4 Fe4 Ru4'
_cell_length_a 5.2616
_cell_length_b 5.5245
_cell_length_c 7.4795
_cell_angle_alpha 90.00
_cell_angle_beta 90.00
_cell_angle_gamma 90.00
_symmetry_space_group_name_H-M 'I m m a'
_symmetry_Int_Tables_number 74
_symmetry_space_group_name_Hall '-I 2b 2'
loop_
_atom_site_label
_atom_site_type_symbol
_atom_site_fract_x
_atom_site_fract_y
_atom_site_fract_z
Nd1 Nd 0.0000 0.2500 0.1265
Fe1 Fe 0.2500 0.2500 0.7500
Ru1 Ru 0.0000 0.0000 0.5000